1.
VRhI2O | PBE+U | relaxed

Geometry as POSCAR:
```
VRhI2O
1.0
-5.486 -0.108 1.358
0.647 -5.165 2.203
0.798 1.526 3.343
I Rh O V
2 1 1 1
direct
0.000 0.500 0.000
0.500 0.000 0.000
0.000 0.000 0.000
0.000 0.000 0.500
0.500 0.500 0.500
```

Calculated values
D(E_F) ... 3.05 states/eV/cell
DFT total energy ... -4.411 eV per atom

=====

2.
VRhIO6 | PBE+U | relaxed

Geometry as POSCAR:
```
VRhIO6
1.0
5.236 0.000 0.000
-2.618 4.534 0.000
0.000 0.000 8.689
V Rh I O
2 2 2 12
direct
0.333 0.667 0.250
0.667 0.333 0.750
0.000 0.000 0.000
0.000 0.000 0.500
0.667 0.333 0.250
0.333 0.667 0.750
0.653 0.667 0.127
0.014 0.347 0.127
0.347 0.014 0.627
0.986 0.653 0.873
0.333 0.347 0.373
0.014 0.667 0.373
0.667 0.014 0.873
0.653 0.986 0.373
0.986 0.333 0.627
0.333 0.986 0.127
0.667 0.653 0.627
0.347 0.333 0.873
```

Calculated values
D(E_F) ... 9.57 states/eV/cell
DFT total energy ... -5.886 eV per atom

=====

3.
VRhI2O | PBE+U | relaxed

Geometry as POSCAR:
```
VRhI2O
1.0
-3.979 3.828 0.053
-3.770 -3.932 0.904
0.437 0.404 3.582
I Rh O V
2 1 1 1
direct
0.000 0.500 0.000
0.500 0.000 0.000
0.500 0.500 0.500
0.000 0.000 0.500
0.000 0.000 0.000
```

Calculated values
D(E_F) ... 5.18 states/eV/cell
DFT total energy ... -4.608 eV per atom

=====

4.
VRhIO2 | PBE+U | relaxed

Geometry as POSCAR:
```
VRhIO2
1.0
3.899 0.000 0.000
0.000 3.899 0.000
0.000 0.000 6.469
I Rh O V
1 1 2 1
direct
0.000 0.000 0.500
0.000 0.000 0.000
0.000 0.500 0.000
0.500 0.000 0.000
0.500 0.500 0.500
```

Calculated values
D(E_F) ... 6.31 states/eV/cell
DFT total energy ... -4.784 eV per atom

=====

5.
VRhIO2 | PBE+U | relaxed

Geometry as POSCAR:
```
VRhIO2
1.0
3.719 0.000 0.000
0.000 3.719 0.000
0.000 0.000 6.149
I Rh O V
1 1 2 1
direct
0.000 0.000 0.500
0.500 0.500 0.500
0.000 0.500 0.000
0.500 0.000 0.000
0.000 0.000 0.000
```

Calculated values
D(E_F) ... 4.09 states/eV/cell
DFT total energy ... -5.694 eV per atom

=====

6.
RhWI2O | PBE+U | relaxed

Geometry as POSCAR:
```
RhWI2O
1.0
-4.073 -4.060 -0.445
3.556 -3.834 2.434
-1.335 0.960 3.462
I Rh O W
2 1 1 1
direct
0.000 0.500 0.000
0.500 0.000 0.000
0.500 0.500 0.500
0.000 0.000 0.500
0.000 0.000 0.000
```

Calculated values
D(E_F) ... 6.21 states/eV/cell
DFT total energy ... -4.273 eV per atom

=====

7.
RhWIO2 | PBE+U | relaxed

Geometry as POSCAR:
```
RhWIO2
1.0
3.967 0.000 0.000
0.000 3.967 0.000
0.000 0.000 6.312
I Rh O W
1 1 2 1
direct
0.000 0.000 0.500
0.000 0.000 0.000
0.000 0.500 0.000
0.500 0.000 0.000
0.500 0.500 0.500
```

Calculated values
D(E_F) ... 4.57 states/eV/cell
DFT total energy ... -4.743 eV per atom

=====

8.
RhWIO2 | PBE+U | relaxed

Geometry as POSCAR:
```
RhWIO2
1.0
3.851 0.000 0.000
0.000 3.851 0.000
0.000 0.000 7.445
I Rh O W
1 1 2 1
direct
0.000 0.000 0.500
0.500 0.500 0.500
0.000 0.500 0.000
0.500 0.000 0.000
0.000 0.000 0.000
```

Calculated values
D(E_F) ... 3.65 states/eV/cell
DFT total energy ... -5.777 eV per atom

=====

Q: What is the formula in the eighth record?
A: RhWIO2

=====

Repeat the fourth record exactly.
VRhIO2 | PBE+U | relaxed

Geometry as POSCAR:
```
VRhIO2
1.0
3.899 0.000 0.000
0.000 3.899 0.000
0.000 0.000 6.469
I Rh O V
1 1 2 1
direct
0.000 0.000 0.500
0.000 0.000 0.000
0.000 0.500 0.000
0.500 0.000 0.000
0.500 0.500 0.500
```

Calculated values
D(E_F) ... 6.31 states/eV/cell
DFT total energy ... -4.784 eV per atom

=====

Q: What is the DFT total energy in the sixth record?
A: -4.273 eV per atom

=====

Q: Which value of D(E_F) does entry 6 give?
A: 6.21 states/eV/cell